[1]
Computed, not measured: crystalline Gd5In3 at its relaxed geometry at the PBE level of DFT.

The structure in CIF format:
```
data_Gd5In3
_space_group_name_H-M_alt 'P 1'
_space_group_IT_number 1
_space_group_name_Hall 'P 1'
_cell_length_a 9.2521
_cell_length_b 9.2521
_cell_length_c 9.2521
_cell_angle_alpha 96.09
_cell_angle_beta 96.09
_cell_angle_gamma 141.97
loop_
_atom_site_label
_atom_site_fract_x
_atom_site_fract_y
_atom_site_fract_z
Gd1 0.4167 0.2800 0.6967
Gd2 0.9167 0.2200 0.1368
Gd3 0.2200 0.0833 0.3033
Gd4 0.0833 0.7800 0.8632
Gd5 0.7500 0.2500 0.5000
Gd6 0.5833 0.7200 0.3033
Gd7 0.7800 0.9167 0.6967
Gd8 0.2500 0.7500 0.5000
Gd9 0.7200 0.4167 0.1368
Gd10 0.2800 0.5833 0.8632
In1 0.6618 0.1618 0.8236
In2 0.8382 0.6618 0.5000
In3 0.7500 0.7500 0.0000
In4 0.1618 0.3382 0.5000
In5 0.2500 0.2500 0.0000
In6 0.3382 0.8382 0.1765
```

Calculated values
**Calculated volume**: 28.83 A^3/atom
**Space group**: I4/mcm

---

[2]
Computed, not measured: crystalline Gd2In at its relaxed geometry at the PBE level of DFT.

The structure in CIF format:
```
data_Gd2In
_space_group_name_H-M_alt 'P 1'
_space_group_IT_number 1
_space_group_name_Hall 'P 1'
_cell_length_a 9.0096
_cell_length_b 9.0096
_cell_length_c 3.7400
_cell_angle_alpha 90.00
_cell_angle_beta 90.00
_cell_angle_gamma 120.00
loop_
_atom_site_label
_atom_site_fract_x
_atom_site_fract_y
_atom_site_fract_z
Gd1 0.0000 0.7103 0.0000
Gd2 0.0000 0.3797 0.5000
Gd3 0.3797 0.0000 0.5000
Gd4 0.7103 0.0000 0.0000
Gd5 0.6203 0.6203 0.5000
Gd6 0.2897 0.2897 0.0000
In1 0.3333 0.6667 0.0000
In2 0.0000 0.0000 0.5000
In3 0.6667 0.3333 0.0000
```

Calculated values
**Calculated volume**: 29.21 A^3/atom
**Space group**: P-62m

---

[3]
Computed, not measured: crystalline Gd2InIr2 at its relaxed geometry at the PBE level of DFT.

The structure in CIF format:
```
data_Gd2InIr2
_space_group_name_H-M_alt 'P 1'
_space_group_IT_number 1
_space_group_name_Hall 'P 1'
_cell_length_a 7.5147
_cell_length_b 7.5147
_cell_length_c 3.9047
_cell_angle_alpha 90.00
_cell_angle_beta 90.00
_cell_angle_gamma 90.00
loop_
_atom_site_label
_atom_site_fract_x
_atom_site_fract_y
_atom_site_fract_z
Ir1 0.3722 0.8722 0.0000
Ir2 0.6278 0.1278 0.0000
Ir3 0.8722 0.6278 0.0000
Ir4 0.1278 0.3722 0.0000
Gd1 0.3273 0.1727 0.5000
Gd2 0.1727 0.6727 0.5000
Gd3 0.6727 0.8273 0.5000
Gd4 0.8273 0.3273 0.5000
In1 0.5000 0.5000 0.0000
In2 0.0000 0.0000 0.0000
```

Calculated values
**Calculated volume**: 22.05 A^3/atom
**Space group**: P4/mbm

---

[4]
Computed, not measured: crystalline Gd4InIr at its relaxed geometry at the PBE level of DFT.

The structure in CIF format:
```
data_Gd4InIr
_space_group_name_H-M_alt 'P 1'
_space_group_IT_number 1
_space_group_name_Hall 'P 1'
_cell_length_a 9.7474
_cell_length_b 9.7474
_cell_length_c 9.7474
_cell_angle_alpha 120.00
_cell_angle_beta 90.00
_cell_angle_gamma 120.00
loop_
_atom_site_label
_atom_site_fract_x
_atom_site_fract_y
_atom_site_fract_z
Ir1 0.1413 0.2826 0.4239
Ir2 0.1413 0.7174 0.8587
Ir3 0.1413 0.2826 0.8587
Ir4 0.5761 0.7174 0.8587
Gd1 0.8089 0.0000 0.8089
Gd2 0.1911 0.0000 0.8089
Gd3 0.1911 0.3823 0.1911
Gd4 0.9397 0.8793 0.4397
Gd5 0.9397 0.5000 0.4397
Gd6 0.9534 0.3023 0.6511
Gd7 0.9397 0.5000 0.0603
Gd8 0.8089 0.6177 0.8089
Gd9 0.5603 0.5000 0.0603
Gd10 0.5603 0.5000 0.4397
Gd11 0.3489 0.6977 0.6511
Gd12 0.1911 0.0000 0.1911
Gd13 0.5603 0.1207 0.0603
Gd14 0.3489 0.3023 0.6511
Gd15 0.3489 0.6977 0.0466
Gd16 0.8089 0.0000 0.1911
In1 0.5824 0.1648 0.4176
In2 0.5824 0.8352 0.4176
In3 0.2528 0.8352 0.4176
In4 0.5824 0.1648 0.7472
```

Calculated values
**Calculated volume**: 27.29 A^3/atom
**Space group**: F-43m

---

[5]
Computed, not measured: crystalline Gd3Mg3In2Ir at its relaxed geometry at the PBE level of DFT.

The structure in CIF format:
```
data_Gd3Mg3In2Ir
_space_group_name_H-M_alt 'P 1'
_space_group_IT_number 1
_space_group_name_Hall 'P 1'
_cell_length_a 7.4911
_cell_length_b 7.4911
_cell_length_c 4.5296
_cell_angle_alpha 90.00
_cell_angle_beta 90.00
_cell_angle_gamma 120.00
loop_
_atom_site_label
_atom_site_fract_x
_atom_site_fract_y
_atom_site_fract_z
Ir1 0.0000 0.0000 0.0000
In1 0.3333 0.6667 0.5000
In2 0.6667 0.3333 0.5000
Gd1 0.0000 0.3890 0.0000
Gd2 0.3890 0.0000 0.0000
Gd3 0.6110 0.6110 0.0000
Mg1 0.2289 0.2289 0.5000
Mg2 0.0000 0.7711 0.5000
Mg3 0.7711 0.0000 0.5000
```

Calculated values
**Calculated volume**: 24.46 A^3/atom
**Space group**: P-62m

---

[6]
Computed, not measured: crystalline Gd3MgIn2Ir2Pt at its relaxed geometry at the PBE level of DFT.

The structure in CIF format:
```
data_Gd3MgIn2Ir2Pt
_space_group_name_H-M_alt 'P 1'
_space_group_IT_number 1
_space_group_name_Hall 'P 1'
_cell_length_a 4.0159
_cell_length_b 7.4934
_cell_length_c 7.4934
_cell_angle_alpha 120.16
_cell_angle_beta 90.00
_cell_angle_gamma 90.00
loop_
_atom_site_label
_atom_site_fract_x
_atom_site_fract_y
_atom_site_fract_z
Pt1 0.5000 0.0076 0.0076
Gd1 0.5000 0.4121 0.9988
Gd2 0.5000 0.5892 0.5892
Gd3 0.5000 0.9988 0.4121
Ir1 0.0000 0.3331 0.6618
Ir2 0.0000 0.6618 0.3331
In1 0.0000 0.7462 0.0020
In2 0.0000 0.0020 0.7462
Mg1 0.0000 0.2491 0.2491
```

Calculated values
**Calculated volume**: 21.66 A^3/atom
**Space group**: Amm2

---

Electronic total energy, record by record: -0.3184 -0.3190 -0.4863 -0.4116 -0.3022 -0.4226 Ry per atom